PaRuPt after structural relaxation, computed with PBE.

Cell: 6.4227 6.4227 6.4227 Å, 90.00 90.00 90.00°
Space group F-43m (No. 216)
One atom of each set of equivalent atoms:
Pa: 0.0000 0.0000 0.0000 [4 per cell]
Ru: 0.2500 0.2500 0.7500 [4 per cell]
Pt: 0.2500 0.2500 0.2500 [4 per cell]

Energy of formation = -238 meV/atom
Energy above the lowest structure with this stoichiometry = 1.53 eV per formula unit

---

Th2UAl2Ru5 after structural relaxation, computed with PBE.

Cell: 10.1960 10.1960 3.5375 Å, 90.00 90.00 90.00°
Space group P4/mbm (No. 127)
One atom of each set of equivalent atoms:
Th: 0.1704 0.3296 0.0000 [4 per cell]
U: 0.0000 0.0000 0.0000 [2 per cell]
Al: 0.1254 0.6254 0.0000 [4 per cell]
Ru: 0.0000 0.5000 0.5000 [2 per cell]
Ru: 0.0687 0.7976 0.5000 [8 per cell]

Energy of formation = -487 meV/atom